# 1
Computed, not measured: a relaxed SmCu4Pd crystal at the PBE level of DFT.

The structure in POSCAR format:
```
SmCu4Pd
1.0
0.000 3.559 3.559
3.559 0.000 3.559
3.559 3.559 0.000
Sm Cu Pd
1 4 1
direct
0.000 0.000 0.000
0.129 0.624 0.624
0.624 0.129 0.624
0.624 0.624 0.129
0.624 0.624 0.624
0.250 0.250 0.250
```

Values from the calculation:
Symmetry: F-43m (216)

***

# 2
Computed, not measured: a relaxed Sm2CuPd crystal at the PBE level of DFT.

The structure in POSCAR format:
```
Sm2CuPd
1.0
5.655 0.000 0.000
0.000 4.601 0.000
-2.579 0.000 7.200
Sm Cu Pd
4 2 2
direct
0.222 0.250 0.430
0.223 0.250 0.932
0.777 0.750 0.068
0.778 0.750 0.570
0.349 0.750 0.711
0.651 0.250 0.289
0.346 0.750 0.213
0.654 0.250 0.787
```

Values from the calculation:
Symmetry: P2_1/m (11)

***

no.,ρ (kg/m3),DFT formation energy (eV per atom)
1,9411,-0.326
2,8346,-0.541